VASP calculation (PBE) on a relaxed Rb2SnIF6 crystal.

Computed properties:
energy	-4.131	eV per atom
crystal system	tetragonal

Lattice parameters (Å, degrees): 7.3234 7.3234 9.4425 90.00 90.00 90.00
Last column: nearest neighbours and their distance in Å.
Space group I4/mmm (No. 139)
Unique sites:
1 Rb 0.0000 0.5000 0.2500 x4  12 F 3.55-3.68
2 Sn 0.0000 0.0000 0.0000 x2  6 F 2.00-2.02
3 I 0.0000 0.0000 0.5000 x2  2 F 2.70
4 F 0.0000 0.0000 0.2137 x4  1 Sn 2.02
5 F 0.1930 0.1930 0.0000 x8  1 Sn 2.00